TaAu3S: relaxed, GGA-PBE.

Summary:
The value obtained for the density is 12.92 Mg/m³. The final energy comes out at -4.084 eV per atom. The value obtained for the energy relative to the elements, uncorrected is 1078 meV/atom. As for the polymorph energy (0 for the lowest one): 0 meV per atom. The size of the total moment is 1.7 μB/f.u.

Lattice parameters (Å, degrees): 4.6926 4.6926 4.6926 90.00 90.00 90.00
Atoms (fractional coordinates):
1 Au 0.0000 0.5000 0.0000
2 Au 0.0000 0.0000 0.5000
3 Au 0.5000 0.0000 0.0000
4 Ta 0.5000 0.5000 0.5000
5 S 0.0000 0.0000 0.0000